A geometry-optimized Dy5Ge3B structure, computed with PBE.

Results
Final energy (eV/atom): -5.4863

Structure (CIF):
```
data_Dy5Ge3B
_symmetry_space_group_name_H-M 'P 1'
_symmetry_Int_Tables_number 1
_symmetry_space_group_name_Hall 'P 1'
_cell_length_a 8.610
_cell_length_b 8.610
_cell_length_c 6.400
_cell_angle_alpha 90.00
_cell_angle_beta 90.00
_cell_angle_gamma 120.00
loop_
_atom_site_label
_atom_site_type_symbol
_atom_site_fract_x
_atom_site_fract_y
_atom_site_fract_z
Ge1 Ge 0.400 0.400 0.250
Ge2 Ge 0.000 0.600 0.250
Ge3 Ge 0.000 0.400 0.750
Ge4 Ge 0.600 0.600 0.750
Ge5 Ge 0.400 0.000 0.750
Ge6 Ge 0.600 0.000 0.250
B1 B 0.000 0.000 0.000
B2 B 0.000 0.000 0.500
Dy1 Dy 0.333 0.667 0.500
Dy2 Dy 0.667 0.333 0.000
Dy3 Dy 0.667 0.333 0.500
Dy4 Dy 0.237 0.237 0.750
Dy5 Dy 0.237 0.000 0.250
Dy6 Dy 0.763 0.000 0.750
Dy7 Dy 0.000 0.763 0.750
Dy8 Dy 0.000 0.237 0.250
Dy9 Dy 0.333 0.667 0.000
Dy10 Dy 0.763 0.763 0.250
```